No. 1
A geometry-optimized SrSeBrN2 structure, computed with GGA-PBE. Values from VASP.

Output
Distance to the lowest polymorph of the same formula: 0.0000 eV per atom
Space-group type: P4/mmm, No. 123
Electronic total energy: -17.94 eV for the cell shown
Formation energy (no corrections): 1.110 eV/atom

Quantum ESPRESSO input file:
```
&SYSTEM
  ibrav = 0, nat = 5, ntyp = 4
/
ATOMIC_SPECIES
Sr 87.62 Sr.upf
Br 79.90 Br.upf
Se 78.96 Se.upf
N 14.01 N.upf
ATOMIC_POSITIONS crystal
Sr 0.500 0.500 0.500
Br 0.000 0.000 0.000
Se 0.000 0.000 0.500
N 0.500 0.000 0.000
N 0.000 0.500 0.000
CELL_PARAMETERS angstrom
-1.805 3.880 1.041
-3.892 -1.407 -1.506
-1.204 -1.860 4.849
```

---

No. 2
A geometry-optimized RbCdSnBr5 structure, computed with GGA-PBE. Values from VASP.

Output
Space-group type: C2/c, No. 15
Electronic total energy: -45.36 eV for the cell shown
Formation energy (no corrections): -1.054 eV/atom

Quantum ESPRESSO input file:
```
&SYSTEM
  ibrav = 0, nat = 16, ntyp = 4
/
ATOMIC_SPECIES
Br 79.90 Br.upf
Rb 85.47 Rb.upf
Cd 112.41 Cd.upf
Sn 118.71 Sn.upf
ATOMIC_POSITIONS crystal
Br 0.380 0.257 0.059
Br 0.328 0.909 0.612
Br 0.743 0.620 0.441
Br 0.084 0.916 0.250
Br 0.672 0.091 0.388
Br 0.620 0.743 0.941
Br 0.091 0.672 0.888
Br 0.916 0.084 0.750
Br 0.909 0.328 0.112
Br 0.257 0.380 0.559
Rb 0.656 0.344 0.750
Rb 0.344 0.656 0.250
Cd 0.316 0.684 0.750
Cd 0.684 0.316 0.250
Sn 0.000 0.000 0.500
Sn 0.000 0.000 0.000
CELL_PARAMETERS angstrom
8.229 0.034 -0.056
-2.369 7.880 -0.056
-2.500 -3.376 9.946
```

---

No. 3
A geometry-optimized Tb2Ho5Er6 structure, computed with GGA-PBE. Values from VASP.

Output
Space-group type: Pbam, No. 55
E_form: 0.0993 eV/atom
Electronic total energy: -116.47 eV for the cell shown

Quantum ESPRESSO input file:
```
&SYSTEM
  ibrav = 0, nat = 26, ntyp = 3
/
ATOMIC_SPECIES
Tb 158.93 Tb.upf
Ho 164.93 Ho.upf
Er 167.26 Er.upf
ATOMIC_POSITIONS crystal
Tb 0.000 0.167 0.789
Tb 0.000 0.833 0.211
Tb 0.000 0.667 0.711
Tb 0.000 0.333 0.289
Ho 0.500 0.000 0.500
Ho 0.500 0.801 0.050
Ho 0.500 0.199 0.950
Ho 0.500 0.090 0.226
Ho 0.500 0.301 0.450
Ho 0.500 0.410 0.726
Ho 0.500 0.910 0.774
Ho 0.500 0.699 0.550
Ho 0.500 0.500 0.000
Ho 0.500 0.590 0.274
Er 0.000 0.417 0.869
Er 0.500 0.326 0.134
Er 0.000 0.441 0.581
Er 0.000 0.941 0.919
Er 0.000 0.917 0.631
Er 0.000 0.059 0.081
Er 0.000 0.583 0.131
Er 0.000 0.559 0.419
Er 0.500 0.174 0.634
Er 0.500 0.674 0.866
Er 0.500 0.826 0.366
Er 0.000 0.083 0.369
CELL_PARAMETERS angstrom
-0.669 0.747 3.392
5.827 -9.392 3.217
16.814 10.757 0.947
```

---

No. 4
A geometry-optimized Ac3GeS6 structure, computed with GGA-PBE. Values from VASP.

Output
Space-group type: Cmc2_1, No. 36
Electronic total energy: -117.09 eV for the cell shown
Formation energy (no corrections): -1.684 eV/atom

Quantum ESPRESSO input file:
```
&SYSTEM
  ibrav = 0, nat = 20, ntyp = 3
/
ATOMIC_SPECIES
S 32.06 S.upf
Ac 227.00 Ac.upf
Ge 72.64 Ge.upf
ATOMIC_POSITIONS crystal
S 0.185 0.419 0.899
S 0.696 0.642 0.677
S 0.170 0.785 0.215
S 0.196 0.677 0.642
S 0.665 0.961 0.039
S 0.685 0.581 0.101
S 0.696 0.323 0.358
S 0.185 0.101 0.581
S 0.196 0.358 0.323
S 0.670 0.215 0.785
S 0.165 0.039 0.961
S 0.685 0.899 0.419
Ac 0.474 0.915 0.710
Ac 0.974 0.085 0.290
Ac 0.917 0.605 0.395
Ac 0.417 0.395 0.605
Ac 0.474 0.290 0.085
Ac 0.974 0.710 0.915
Ge 0.525 0.807 0.193
Ge 0.025 0.193 0.807
CELL_PARAMETERS angstrom
7.069 0.000 0.000
0.000 9.212 0.010
0.000 -2.046 8.982
```

---

No. 5
A geometry-optimized Sm4DyAl structure, computed with GGA-PBE. Values from VASP.

Output
Distance to the lowest polymorph of the same formula: 0.0752 eV per atom
Space-group type: C2/c, No. 15
E_form: -0.0273 eV/atom
Electronic total energy: -54.77 eV for the cell shown

Quantum ESPRESSO input file:
```
&SYSTEM
  ibrav = 0, nat = 12, ntyp = 3
/
ATOMIC_SPECIES
Al 26.98 Al.upf
Sm 150.36 Sm.upf
Dy 162.50 Dy.upf
ATOMIC_POSITIONS crystal
Al 0.750 0.000 0.001
Al 0.250 0.000 0.999
Sm 0.369 0.916 0.632
Sm 0.770 0.394 0.228
Sm 0.958 0.833 0.228
Sm 0.631 0.084 0.368
Sm 0.237 0.284 0.368
Sm 0.230 0.606 0.772
Sm 0.042 0.167 0.772
Sm 0.763 0.716 0.632
Dy 0.658 0.408 0.817
Dy 0.342 0.592 0.183
CELL_PARAMETERS angstrom
6.300 -0.667 0.000
-2.520 8.688 0.000
-1.890 -4.010 7.013
```

---

No. 6
A geometry-optimized AlP2Au structure, computed with GGA-PBE. Values from VASP.

Output
Space-group type: Cmm2, No. 35
E_form: 0.2621 eV/atom
Electronic total energy: -16.79 eV for the cell shown

Quantum ESPRESSO input file:
```
&SYSTEM
  ibrav = 0, nat = 4, ntyp = 3
/
ATOMIC_SPECIES
P 30.97 P.upf
Al 26.98 Al.upf
Au 196.97 Au.upf
ATOMIC_POSITIONS crystal
P 0.000 0.000 0.031
P 0.500 0.500 0.231
Al 0.000 0.000 0.489
Au 0.500 0.500 0.749
CELL_PARAMETERS angstrom
-1.988 -2.253 2.035
3.600 0.011 -0.456
0.725 4.639 5.844
```

---

No. 7
A geometry-optimized TeMoRu3 structure, computed with GGA-PBE. Values from VASP.

Output
Distance to the lowest polymorph of the same formula: 0.5288 eV per atom
Space-group type: Pm-3m, No. 221
Electronic total energy: -31.84 eV for the cell shown
Formation energy (no corrections): 1.991 eV/atom

Quantum ESPRESSO input file:
```
&SYSTEM
  ibrav = 0, nat = 5, ntyp = 3
/
ATOMIC_SPECIES
Ru 101.07 Ru.upf
Mo 95.94 Mo.upf
Te 127.60 Te.upf
ATOMIC_POSITIONS crystal
Ru 0.500 0.000 0.000
Ru 0.000 0.000 0.500
Ru 0.000 0.500 0.000
Mo 0.500 0.500 0.500
Te 0.000 0.000 0.000
CELL_PARAMETERS angstrom
-3.951 2.436 -0.759
0.217 -1.073 -4.574
-2.542 -3.878 0.789
```

---

No. 8
A geometry-optimized NaGaTe2 structure, computed with GGA-PBE. Values from VASP.

Output
Space-group type: P2_1/m, No. 11
Electronic total energy: -48.09 eV for the cell shown
Formation energy (no corrections): -0.349 eV/atom

Quantum ESPRESSO input file:
```
&SYSTEM
  ibrav = 0, nat = 16, ntyp = 3
/
ATOMIC_SPECIES
Na 22.99 Na.upf
Te 127.60 Te.upf
Ga 69.72 Ga.upf
ATOMIC_POSITIONS crystal
Na 0.502 0.250 0.252
Na 0.998 0.750 0.248
Na 0.498 0.750 0.748
Na 0.002 0.250 0.752
Te 0.368 0.250 0.611
Te 0.630 0.250 0.888
Te 0.870 0.750 0.612
Te 0.130 0.250 0.388
Te 0.868 0.250 0.111
Te 0.370 0.750 0.112
Te 0.632 0.750 0.389
Te 0.132 0.750 0.889
Ga 0.253 0.250 0.004
Ga 0.747 0.750 0.996
Ga 0.247 0.750 0.496
Ga 0.753 0.250 0.504
CELL_PARAMETERS angstrom
17.304 0.000 1.712
0.000 5.392 0.000
-5.695 0.000 4.224
```